## Te3As2 (PBEsol)

Data for a relaxed structure of Te3As2.

Uncorrected formation energy, eV/atom: 0.076
Space-group type: Fdd2
Crystal system: orthorhombic
DOS at the Fermi energy, states/eV/atom: 0.2973

a b c (Å): 7.0213 7.0213 7.3832
angles (deg): 102.73 102.73 122.46
Fractional coordinates of all 10 atoms:
Te 0.1466 0.3474 0.5978
As 0.6524 0.7615 0.7483
Te 0.7496 0.5488 0.4022
Te 0.1882 0.1882 0.0000
Te 0.5974 0.8966 0.0978
As 0.0132 0.9041 0.2517
Te 0.4382 0.9382 0.5000
As 0.1541 0.7632 0.7517
Te 0.7988 0.4996 0.9022
As 0.0115 0.4024 0.2483